Compound: La3NdIr
Source: the Alexandria database
Functional: PBE
Structure: optimized geometry

Cell: 8.0043 6.7865 6.5307 Å, 90.00 90.00 90.00°
Element x y z (fractional)
La  0.0000  0.1502  0.0000
La  0.2486  0.6785  0.9997
La  0.2514  0.3215  0.4997
La  0.5000  0.8498  0.5000
La  0.7486  0.3215  0.4997
La  0.7514  0.6785  0.9997
Nd  0.0000  0.8434  0.5044
Nd  0.5000  0.1566  0.0044
Ir  0.0000  0.4963  0.2489
Ir  0.5000  0.5037  0.7489

As for the crystal system: orthorhombic. The value obtained for the total energy is -5.99 eV per atom. As for the calculated formation energy: -303 meV per atom. The symmetry is Pmn2_1, No. 31.